No. 1
Below is a geometry-optimized MgOs2SeBr structure, with properties calculated at the PBE level.

Unit cell a=4.5186 b=4.5186 c=5.7423 alpha=90.00 beta=90.00 gamma=90.00
Positions (direct):
Mg 0.0000 0.0000 0.0000
Os 0.0000 0.5000 0.5000
Os 0.5000 0.0000 0.5000
Se 0.5000 0.5000 0.0000
Br 0.5000 0.5000 0.5000

Results
Fermi-level density of states = 0.979 states/eV/atom
E_tot = -3.9743 eV/atom
formation energy without anion corrections = 1.8680 eV per atom

No. 2
Below is a geometry-optimized Tm7Hg12Pb structure, with properties calculated at the PBE level.

Unit cell a=8.6583 b=8.6583 c=8.6583 alpha=108.67 beta=108.67 gamma=108.67
Positions (direct):
Tm 0.0000 0.0000 0.0000
Tm 0.1684 0.6273 0.4693
Tm 0.3727 0.5307 0.8316
Tm 0.4693 0.1684 0.6273
Tm 0.5307 0.8316 0.3727
Tm 0.6273 0.4693 0.1684
Tm 0.8316 0.3727 0.5307
Hg 0.0987 0.1986 0.4476
Hg 0.1558 0.8387 0.2550
Hg 0.1613 0.7450 0.8442
Hg 0.1986 0.4476 0.0987
Hg 0.2550 0.1558 0.8387
Hg 0.4476 0.0987 0.1986
Hg 0.5524 0.9013 0.8014
Hg 0.7450 0.8442 0.1613
Hg 0.8014 0.5524 0.9013
Hg 0.8387 0.2550 0.1558
Hg 0.8442 0.1613 0.7450
Hg 0.9013 0.8014 0.5524
Pb 0.5000 0.5000 0.5000

Results
energy relative to the elements = -6.6 kcal/mol of atoms
Fermi-level density of states = 0.544 states/eV/atom
E_tot = -2.2185 eV/atom

No. 3
Below is a geometry-optimized CdFe2P structure, with properties calculated at the PBE level.

Unit cell a=3.7437 b=3.7437 c=8.1593 alpha=90.00 beta=90.00 gamma=90.00
Positions (direct):
Cd 0.0000 0.0000 0.0000
Cd 0.5000 0.5000 0.5000
Fe 0.0000 0.0000 0.5000
Fe 0.0000 0.5000 0.7500
Fe 0.5000 0.0000 0.2500
Fe 0.5000 0.5000 0.0000
P 0.0000 0.5000 0.2500
P 0.5000 0.0000 0.7500

Results
energy relative to the elements = 8.2 kcal/mol of atoms
Fermi-level density of states = 1.023 states/eV/atom
E_tot = -5.4591 eV/atom

No. 4
Below is a geometry-optimized Ag2PH structure, with properties calculated at the PBE level.

Unit cell a=5.8900 b=5.8900 c=6.8262 alpha=90.00 beta=90.00 gamma=90.00
Positions (direct):
Ag 0.1657 0.2500 0.1250
Ag 0.2500 0.6657 0.3750
Ag 0.2500 0.8343 0.8750
Ag 0.3343 0.2500 0.6250
Ag 0.6657 0.7500 0.6250
Ag 0.7500 0.1657 0.8750
Ag 0.7500 0.3343 0.3750
Ag 0.8343 0.7500 0.1250
P 0.0000 0.0000 0.5000
P 0.0000 0.5000 0.7500
P 0.5000 0.0000 0.2500
P 0.5000 0.5000 0.0000
H 0.0000 0.0000 0.0000
H 0.0000 0.5000 0.2500
H 0.5000 0.0000 0.7500
H 0.5000 0.5000 0.5000

Results
Fermi-level density of states = 0.254 states/eV/atom
E_tot = -3.1877 eV/atom

No. 5
Below is a geometry-optimized DyAl2CdAu4 structure, with properties calculated at the PBE level.

Unit cell a=9.7881 b=9.7881 c=9.7881 alpha=26.08 beta=26.08 gamma=26.08
Positions (direct):
Dy 0.0000 0.0000 0.0000
Al 0.2491 0.2491 0.2491
Al 0.7509 0.7509 0.7509
Cd 0.5000 0.5000 0.5000
Au 0.1157 0.1157 0.1157
Au 0.3919 0.3919 0.3919
Au 0.6081 0.6081 0.6081
Au 0.8843 0.8843 0.8843

Results
energy relative to the elements = -11.1 kcal/mol of atoms
Fermi-level density of states = 0.567 states/eV/atom
E_tot = -3.7433 eV/atom

No. 6
Below is a geometry-optimized PrMgAu4 structure, with properties calculated at the PBE level.

Unit cell a=3.6939 b=3.6939 c=9.2262 alpha=90.00 beta=90.00 gamma=90.00
Positions (direct):
Pr 0.0000 0.0000 0.0000
Mg 0.5000 0.5000 0.5000
Au 0.0000 0.0000 0.3480
Au 0.0000 0.0000 0.6520
Au 0.5000 0.5000 0.1889
Au 0.5000 0.5000 0.8111

Results
energy relative to the elements = -13.0 kcal/mol of atoms
Fermi-level density of states = 0.464 states/eV/atom
E_tot = -3.8093 eV/atom

No. 7
Below is a geometry-optimized Ce3Pu5Te8 structure, with properties calculated at the PBE level.

Unit cell a=8.8983 b=8.8983 c=8.8983 alpha=60.18 beta=60.18 gamma=60.18
Positions (direct):
Ce 0.0000 0.5000 0.5000
Ce 0.5000 0.0000 0.5000
Ce 0.5000 0.5000 0.0000
Pu 0.0000 0.0000 0.0000
Pu 0.0000 0.0000 0.5000
Pu 0.0000 0.5000 0.0000
Pu 0.5000 0.0000 0.0000
Pu 0.5000 0.5000 0.5000
Te 0.2462 0.7503 0.7503
Te 0.2480 0.2480 0.2480
Te 0.2497 0.2497 0.7538
Te 0.2497 0.7538 0.2497
Te 0.7503 0.2462 0.7503
Te 0.7503 0.7503 0.2462
Te 0.7520 0.7520 0.7520
Te 0.7538 0.2497 0.2497

Results
Fermi-level density of states = 4.229 states/eV/atom
E_tot = -8.3456 eV/atom
formation energy without anion corrections = -1.1834 eV per atom

No. 8
Below is a geometry-optimized PmGa2Ru structure, with properties calculated at the PBE level.

Unit cell a=3.2224 b=3.2224 c=7.1066 alpha=90.00 beta=90.00 gamma=90.00
Positions (direct):
Pm 0.0000 0.0000 0.0000
Ga 0.5000 0.5000 0.3089
Ga 0.5000 0.5000 0.6911
Ru 0.0000 0.0000 0.5000

Results
energy relative to the elements = -9.4 kcal/mol of atoms
Fermi-level density of states = 0.586 states/eV/atom
E_tot = -5.4293 eV/atom

No. 9
Below is a geometry-optimized Cs2GaBi structure, with properties calculated at the PBE level.

Unit cell a=12.2487 b=9.3188 c=6.5283 alpha=90.00 beta=90.00 gamma=90.00
Positions (direct):
Cs 0.1691 0.1558 0.2500
Cs 0.1691 0.8442 0.7500
Cs 0.3309 0.3442 0.7500
Cs 0.3309 0.6558 0.2500
Cs 0.6691 0.3442 0.7500
Cs 0.6691 0.6558 0.2500
Cs 0.8309 0.1558 0.2500
Cs 0.8309 0.8442 0.7500
Ga 0.0000 0.5000 0.0000
Ga 0.0000 0.5000 0.5000
Ga 0.5000 0.0000 0.0000
Ga 0.5000 0.0000 0.5000
Bi 0.0000 0.2226 0.7500
Bi 0.0000 0.7774 0.2500
Bi 0.5000 0.2774 0.2500
Bi 0.5000 0.7226 0.7500

Results
energy relative to the elements = -2.8 kcal/mol of atoms
Fermi-level density of states = 0.717 states/eV/atom
E_tot = -2.2761 eV/atom

No. 10
Below is a geometry-optimized AcCoAs2 structure, with properties calculated at the PBE level.

Unit cell a=4.2054 b=4.2054 c=10.0214 alpha=90.00 beta=90.00 gamma=90.00
Positions (direct):
Ac 0.0000 0.0000 0.0000
Ac 0.5000 0.5000 0.5000
Co 0.0000 0.5000 0.7500
Co 0.5000 0.0000 0.2500
As 0.0000 0.0000 0.3515
As 0.0000 0.0000 0.6485
As 0.5000 0.5000 0.1485
As 0.5000 0.5000 0.8515

Results
energy relative to the elements = -17.3 kcal/mol of atoms
Fermi-level density of states = 0.728 states/eV/atom
E_tot = -5.8804 eV/atom

No. 11
Below is a geometry-optimized PWSe2 structure, with properties calculated at the PBE level.

Unit cell a=3.1626 b=3.9671 c=12.8753 alpha=90.00 beta=90.00 gamma=90.00
Positions (direct):
P 0.0000 0.0000 0.0000
P 0.5000 0.5000 0.5000
W 0.0000 0.0000 0.5000
W 0.5000 0.5000 0.0000
Se 0.0000 0.5000 0.1635
Se 0.0000 0.5000 0.8365
Se 0.5000 0.0000 0.3365
Se 0.5000 0.0000 0.6635

Results
Fermi-level density of states = 0.691 states/eV/atom
E_tot = -6.1220 eV/atom
formation energy without anion corrections = 0.2110 eV per atom

No. 12
Below is a geometry-optimized ScZn4 structure, with properties calculated at the PBE level.

Unit cell a=6.3125 b=6.3125 c=6.3125 alpha=90.00 beta=90.00 gamma=90.00
Positions (direct):
Sc 0.0000 0.0000 0.0000
Sc 0.5000 0.5000 0.5000
Zn 0.2500 0.2500 0.2500
Zn 0.2500 0.2500 0.7500
Zn 0.2500 0.7500 0.2500
Zn 0.2500 0.7500 0.7500
Zn 0.7500 0.2500 0.2500
Zn 0.7500 0.2500 0.7500
Zn 0.7500 0.7500 0.2500
Zn 0.7500 0.7500 0.7500

Results
energy relative to the elements = 10.6 kcal/mol of atoms
Fermi-level density of states = 0.635 states/eV/atom
E_tot = -1.8268 eV/atom